Sc2CrTc at its PBEsol-relaxed geometry. Source: the Alexandria database, functional SCAN.

Values from the calculation:
* crystal system: monoclinic
* raw total energy: -20.40 eV/atom
* space-group type: Pm
* ΔE_f: 80 meV per atom
* spin magnetization: 0.7 Bohr magnetons per cell

```
Sc2CrTc
1.0
-2.1500 -1.5347 1.5244
2.7403 -2.7027 1.1438
1.9413 3.6172 3.8961
Sc Tc Cr
2 1 1
Direct
0.7382 0.5000 0.2869 Sc
0.0101 0.0000 0.9627 Sc
0.4482 0.0000 0.5346 Tc
0.3035 0.5000 0.7158 Cr
```